Entry 1:
Compound: NaSr2HgF
Source: the Alexandria database
Functional: PBE
Structure: optimized geometry

Output
**Uncorrected formation energy**: -3.63 eV/f.u.
**Crystal system**: tetragonal
**Space-group type**: P4/mmm, No. 123
**Total moment**: 0.000 μB/atom
**Calculated total energy**: -10.5 eV for the cell shown
**Excess energy over the best structure of this formula in the dataset**: 12.40 kcal/mol of atoms

```
data_NaSr2HgF
_chemical_formula_sum 'Na1 Sr2 Hg1 F1'
_cell_length_a 6.483
_cell_length_b 6.483
_cell_length_c 4.057
_cell_angle_alpha 90.00
_cell_angle_beta 90.00
_cell_angle_gamma 90.00
_space_group_name_H-M_alt 'P 1'
_space_group_IT_number 1
_space_group_name_Hall 'P 1'
loop_
_atom_site_label
_atom_site_fract_x
_atom_site_fract_y
_atom_site_fract_z
Na1 0.000 0.000 0.000
Sr1 0.000 0.500 0.000
Sr2 0.500 0.000 0.000
Hg1 0.500 0.500 0.500
F1 0.000 0.000 0.500
```

Entry 2:
Compound: Ca3TcPd
Source: the Alexandria database
Functional: PBE
Structure: optimized geometry

Output
**Crystal system**: cubic
**Space-group type**: Pm-3m, No. 221
**Energy of formation from the pure elements**: 0.584 eV per atom
**Total moment**: 0.000 μB/atom
**Calculated total energy**: -18.6 eV for the cell shown
**Excess energy over the best structure of this formula in the dataset**: 1.92 kcal/mol of atoms

```
data_Ca3TcPd
_chemical_formula_sum 'Ca3 Tc1 Pd1'
_cell_length_a 5.261
_cell_length_b 5.261
_cell_length_c 5.261
_cell_angle_alpha 90.00
_cell_angle_beta 90.00
_cell_angle_gamma 90.00
_space_group_name_H-M_alt 'P 1'
_space_group_IT_number 1
_space_group_name_Hall 'P 1'
loop_
_atom_site_label
_atom_site_fract_x
_atom_site_fract_y
_atom_site_fract_z
Ca1 0.000 0.000 0.500
Ca2 0.000 0.500 0.000
Ca3 0.500 0.000 0.000
Tc1 0.000 0.000 0.000
Pd1 0.500 0.500 0.500
```

Entry 3:
Compound: Sm2Zn5Pt5
Source: the Alexandria database
Functional: PBE
Structure: optimized geometry

Output
**Crystal system**: orthorhombic
**Space-group type**: Pmmm, No. 47
**Energy of formation from the pure elements**: -0.758 eV per atom
**Total moment**: 0.000 μB/atom
**Calculated total energy**: -55.1 eV for the cell shown

```
data_Sm2Zn5Pt5
_chemical_formula_sum 'Sm2 Zn5 Pt5'
_cell_length_a 4.337
_cell_length_b 5.302
_cell_length_c 9.375
_cell_angle_alpha 90.00
_cell_angle_beta 90.00
_cell_angle_gamma 90.00
_space_group_name_H-M_alt 'P 1'
_space_group_IT_number 1
_space_group_name_Hall 'P 1'
loop_
_atom_site_label
_atom_site_fract_x
_atom_site_fract_y
_atom_site_fract_z
Sm1 0.000 0.000 0.000
Sm2 0.000 0.500 0.500
Zn1 0.500 0.000 0.500
Zn2 0.500 0.251 0.250
Zn3 0.500 0.251 0.750
Zn4 0.500 0.749 0.250
Zn5 0.500 0.749 0.750
Pt1 0.000 0.000 0.333
Pt2 0.000 0.000 0.667
Pt3 0.000 0.500 0.178
Pt4 0.000 0.500 0.822
Pt5 0.500 0.500 0.000
```

Entry 4:
Compound: Nb2BTe
Source: the Alexandria database
Functional: PBE
Structure: optimized geometry

Output
**Uncorrected formation energy**: 1.56 eV/f.u.
**Crystal system**: tetragonal
**Space-group type**: I-42d, No. 122
**Total moment**: 0.000 μB/atom
**Calculated total energy**: -56.8 eV for the cell shown
**Excess energy over the best structure of this formula in the dataset**: 0.00 kcal/mol of atoms

```
data_Nb2BTe
_chemical_formula_sum 'Nb4 B2 Te2'
_cell_length_a 6.995
_cell_length_b 6.995
_cell_length_c 6.995
_cell_angle_alpha 134.09
_cell_angle_beta 134.09
_cell_angle_gamma 66.95
_space_group_name_H-M_alt 'P 1'
_space_group_IT_number 1
_space_group_name_Hall 'P 1'
loop_
_atom_site_label
_atom_site_fract_x
_atom_site_fract_y
_atom_site_fract_z
Nb1 0.019 0.625 0.894
Nb2 0.375 0.269 0.394
Nb3 0.731 0.125 0.106
Nb4 0.875 0.981 0.606
B1 0.000 0.000 0.000
B2 0.750 0.250 0.500
Te1 0.250 0.750 0.500
Te2 0.500 0.500 0.000
```